A relaxed structure of MnW, computed with PBE.

a b c (Å): 3.8235 3.8235 4.7197
angles (deg): 90.00 90.00 120.00
With the nearest neighbours (Å) after each atom.
Fractional coordinates of all 4 atoms:
Mn 0.0000 0.0000 0.5000  2 Mn 2.36, 6 W 2.50
Mn 0.0000 0.0000 0.0000  2 Mn 2.36, 6 W 2.50
W 0.3333 0.6667 0.2500  6 Mn 2.50
W 0.6667 0.3333 0.7500  6 Mn 2.50

Summary:
SG: P6_3/mmc
Formation enthalpy at 0 K (kJ/mol of atoms): 59.08

***

A relaxed structure of Mn2FeCu, computed with PBE.

a b c (Å): 4.4035 4.4035 4.3809
angles (deg): 80.29 80.29 32.79
With the nearest neighbours (Å) after each atom.
Fractional coordinates of all 4 atoms:
Mn 0.5057 0.5057 0.4925  6 Mn 2.48-2.56, 3 Fe 2.48-2.57, 3 Cu 2.52-2.57
Mn 0.9943 0.9943 0.0075  6 Mn 2.48-2.56, 3 Fe 2.48-2.57, 3 Cu 2.52-2.57
Cu 0.7500 0.7500 0.7500  2 Cu 2.49, 4 Fe 2.52, 6 Mn 2.52-2.57
Fe 0.2500 0.2500 0.2500  6 Mn 2.48-2.57, 2 Fe 2.49, 4 Cu 2.52

Summary:
SG: C2/m
Formation enthalpy at 0 K (kJ/mol of atoms): 22.76
Relative energy among the computed polymorphs (meV/atom): 127

***

A relaxed structure of Tb6Nd12Cd, computed with PBE.

a b c (Å): 8.6535 8.6535 8.6535
angles (deg): 88.72 88.72 88.72
With the nearest neighbours (Å) after each atom.
Fractional coordinates of all 19 atoms:
Nd 0.6353 0.9818 0.8216  4 Tb 3.52-3.76, 5 Nd 3.55-3.85, 1 Cd 3.55
Nd 0.7850 0.5370 0.4319  3 Tb 3.38-3.57, 4 Nd 3.40-3.71
Nd 0.5681 0.2150 0.4630  3 Tb 3.38-3.57, 4 Nd 3.40-3.71
Nd 0.4319 0.7850 0.5370  3 Tb 3.38-3.57, 4 Nd 3.40-3.71
Nd 0.4630 0.5681 0.2150  3 Tb 3.38-3.57, 4 Nd 3.40-3.71
Nd 0.1784 0.3647 0.0182  4 Tb 3.52-3.76, 5 Nd 3.55-3.85, 1 Cd 3.55
Nd 0.5370 0.4319 0.7850  3 Tb 3.38-3.57, 4 Nd 3.40-3.71
Nd 0.3647 0.0182 0.1784  4 Tb 3.52-3.76, 5 Nd 3.55-3.85, 1 Cd 3.55
Nd 0.0182 0.1784 0.3647  4 Tb 3.52-3.76, 5 Nd 3.55-3.85, 1 Cd 3.55
Nd 0.2150 0.4630 0.5681  3 Tb 3.38-3.57, 4 Nd 3.40-3.71
Nd 0.8216 0.6353 0.9818  4 Tb 3.52-3.76, 5 Nd 3.55-3.85, 1 Cd 3.55
Nd 0.9818 0.8216 0.6353  4 Tb 3.52-3.76, 5 Nd 3.55-3.85, 1 Cd 3.55
Tb 0.2585 0.0995 0.7155  7 Nd 3.38-3.76, 1 Cd 3.40, 2 Tb 3.46
Tb 0.7155 0.2585 0.0995  7 Nd 3.38-3.76, 1 Cd 3.40, 2 Tb 3.46
Tb 0.0995 0.7155 0.2585  7 Nd 3.38-3.76, 1 Cd 3.40, 2 Tb 3.46
Tb 0.2845 0.7415 0.9005  7 Nd 3.38-3.76, 1 Cd 3.40, 2 Tb 3.46
Tb 0.9005 0.2845 0.7415  7 Nd 3.38-3.76, 1 Cd 3.40, 2 Tb 3.46
Tb 0.7415 0.9005 0.2845  7 Nd 3.38-3.76, 1 Cd 3.40, 2 Tb 3.46
Cd 0.0000 0.0000 0.0000  6 Tb 3.40, 6 Nd 3.55

Summary:
SG: R-3
Formation enthalpy at 0 K (kJ/mol of atoms): 8.95
Relative energy among the computed polymorphs (meV/atom): 0

***

A relaxed structure of HfTiNi2, computed with PBE.

a b c (Å): 4.7757 4.8992 11.8935
angles (deg): 90.00 90.00 90.00
With the nearest neighbours (Å) after each atom.
Fractional coordinates of all 16 atoms:
Ni 0.0000 0.0000 0.0000  6 Ni 2.33-2.45
Ni 0.5000 0.5000 0.5000  2 Ti 2.43, 2 Ni 2.45
Ni 0.5000 0.0000 0.5000  2 Ti 2.43, 2 Ni 2.45
Ni 0.7387 0.7500 0.8700  4 Ni 2.28-2.50, 1 Ti 2.41
Ni 0.2613 0.7500 0.8700  4 Ni 2.28-2.50, 1 Ti 2.41
Ni 0.2613 0.2500 0.1300  4 Ni 2.28-2.50, 1 Ti 2.41
Ni 0.0000 0.5000 0.0000  6 Ni 2.33-2.45
Ni 0.7387 0.2500 0.1300  4 Ni 2.28-2.50, 1 Ti 2.41
Hf 0.0000 0.2500 0.5566  4 Ni 2.77, 2 Hf 2.80, 3 Ti 2.96-3.01
Hf 0.5000 0.2500 0.9054  10 Ni 2.73-2.91
Hf 0.0000 0.7500 0.4434  4 Ni 2.77, 2 Hf 2.80, 3 Ti 2.96-3.01
Hf 0.5000 0.7500 0.0946  10 Ni 2.73-2.91
Ti 0.5000 0.2500 0.3236  2 Ti 2.40, 4 Ni 2.43-2.57
Ti 0.5000 0.7500 0.6764  2 Ti 2.40, 4 Ni 2.43-2.57
Ti 0.0000 0.2500 0.3036  2 Ti 2.40, 2 Ni 2.41
Ti 0.0000 0.7500 0.6964  2 Ti 2.40, 2 Ni 2.41

Summary:
SG: Pmma
Formation enthalpy at 0 K (kJ/mol of atoms): 13.66
Relative energy among the computed polymorphs (meV/atom): 598

***

A relaxed structure of PtW3, computed with PBE.

a b c (Å): 4.5696 4.9541 5.6466
angles (deg): 90.00 90.00 90.00
With the nearest neighbours (Å) after each atom.
Fractional coordinates of all 8 atoms:
Pt 0.5000 0.6662 0.5000  12 W 2.81-2.86
Pt 0.0000 0.3338 0.0000  12 W 2.81-2.86
W 0.0000 0.8398 0.7564  8 W 2.75-2.93, 4 Pt 2.81-2.86
W 0.5000 0.6742 0.0000  8 W 2.79-2.93, 4 Pt 2.82-2.84
W 0.5000 0.1602 0.2564  8 W 2.75-2.93, 4 Pt 2.81-2.86
W 0.5000 0.1602 0.7436  8 W 2.75-2.93, 4 Pt 2.81-2.86
W 0.0000 0.3258 0.5000  8 W 2.79-2.93, 4 Pt 2.82-2.84
W 0.0000 0.8398 0.2436  8 W 2.75-2.93, 4 Pt 2.81-2.86

Summary:
SG: Pmmn
Formation enthalpy at 0 K (kJ/mol of atoms): 4.71

***

A relaxed structure of HfRh2O, computed with PBE.

a b c (Å): 4.9121 4.9121 6.7734
angles (deg): 68.74 68.74 90.00
With the nearest neighbours (Å) after each atom.
Fractional coordinates of all 8 atoms:
Rh 0.3750 0.4847 0.7500  2 O 2.02
Rh 0.5153 0.1250 0.2500  2 O 2.02
Rh 0.2347 0.6250 0.2500  2 O 2.02
Rh 0.8750 0.7653 0.7500  2 O 2.02
Hf 0.0000 0.0000 0.0000  4 Rh 2.60
Hf 0.7500 0.2500 0.5000  4 Rh 2.60
O 0.5000 0.5000 0.0000  4 Rh 2.02
O 0.2500 0.7500 0.5000  4 Rh 2.02

Summary:
SG: I-42d
ΔE_f (raw) (eV per formula unit): -1.31

***

A relaxed structure of Tl2AuCSe, computed with PBE.

a b c (Å): 5.4135 3.9905 5.4135
angles (deg): 90.00 90.00 90.00
With the nearest neighbours (Å) after each atom.
Fractional coordinates of all 5 atoms:
Au 0.0000 0.5000 0.0000  2 C 2.00
Tl 0.5000 0.0000 0.0000  2 C 2.71
Tl 0.0000 0.0000 0.5000  2 C 2.71
Se 0.5000 0.5000 0.5000  8 Tl 3.36
C 0.0000 0.0000 0.0000  2 Au 2.00

Summary:
SG: P4/mmm
ΔE_f (raw) (eV per formula unit): 3.01

***

In the order shown, the computed VASP energy values come out to -10.45, -7.49, -4.43, -7.21, -11.18, -7.73, -3.54 eV per atom.